Ga2BiSb2 | Alexandria | GGA-PBE | relaxed; formation energy from raw total energies = 0.13 eV per atom; ρ = 7.50 g/cm³; energy relative to the lowest polymorph listed for this composition = 47 meV per atom; symmetry = No. 139; total magnetic moment = 0.0 μB per cell
1.0
-3.808 2.428 3.051
-0.637 -4.594 2.862
0.894 0.248 5.786
Sb Bi Ga
2 1 2
Cartesian
-2.568 0.796 5.896 Sb
-0.983 -2.715 5.802 Sb
0.000 0.000 0.000 Bi
-1.336 -0.705 3.761 Ga
-2.215 -1.214 7.937 Ga

***

Ga2BiSb2 | Alexandria | GGA-PBE | relaxed; formation energy from raw total energies = 0.16 eV per atom; ρ = 7.90 g/cm³; energy relative to the lowest polymorph listed for this composition = 76 meV per atom; symmetry = No. 127; total magnetic moment = 0.0 μB per cell
1.0
-2.757 4.332 6.385
-5.787 -5.645 1.331
2.308 -1.837 2.243
Sb Bi Ga
4 2 4
Cartesian
-3.181 -3.963 3.089 Sb
-5.500 -2.715 6.498 Sb
-3.055 0.812 6.871 Sb
-0.735 -0.436 3.462 Sb
0.000 0.000 0.000 Bi
-4.272 -0.657 3.858 Bi
-6.078 -3.312 3.542 Ga
-6.036 0.239 6.408 Ga
-2.466 1.999 4.175 Ga
-2.508 -1.553 1.309 Ga

***

Ga2BiSb | Alexandria | GGA-PBE | relaxed; formation energy from raw total energies = -0.07 eV per atom; ρ = 6.16 g/cm³; symmetry = No. 122; total magnetic moment = 0.0 μB per cell
1.0
6.330 0.000 0.000
0.000 6.330 0.000
3.165 3.165 6.330
Sb Bi Ga
2 2 4
Cartesian
3.165 3.165 0.000 Sb
3.165 6.330 3.165 Sb
0.000 0.000 0.000 Bi
6.330 3.165 3.165 Bi
4.679 1.583 1.583 Ga
1.652 4.748 1.583 Ga
4.748 4.817 4.748 Ga
7.913 7.844 4.748 Ga

***

Sr2GaBiSb | Alexandria | GGA-PBE | relaxed; formation energy from raw total energies = -0.22 eV per atom; ρ = 5.09 g/cm³; energy relative to the lowest polymorph listed for this composition = 489 meV per atom; symmetry = No. 123; total magnetic moment = 0.0 μB per cell
1.0
-4.840 2.700 -2.550
-0.358 -3.778 -3.322
-3.689 -3.007 3.817
Sb Bi Ga Sr
1 1 1 2
Cartesian
-0.179 -1.889 -1.661 Sb
-4.443 -2.042 -1.027 Bi
0.000 0.000 0.000 Ga
-1.844 -1.504 1.908 Sr
-2.420 1.350 -1.275 Sr

***

Sr2GaBiSb | Alexandria | GGA-PBE | relaxed; formation energy from raw total energies = -0.71 eV per atom; ρ = 5.54 g/cm³; energy relative to the lowest polymorph listed for this composition = 0 meV per atom; symmetry = No. 11; total magnetic moment = 0.0 μB per cell
1.0
5.073 0.000 0.000
0.000 8.106 1.436
0.000 -1.284 8.172
Sr Ga Bi Sb
4 2 2 2
Cartesian
3.805 5.540 5.229 Sr
3.805 5.159 9.280 Sr
1.268 1.282 4.379 Sr
1.268 1.663 0.327 Sr
1.268 3.600 7.683 Ga
3.805 3.222 1.924 Ga
1.268 4.438 2.765 Bi
3.805 2.384 6.843 Bi
1.268 6.339 7.336 Sb
3.805 0.483 2.271 Sb

***

GaBiSb2Te | Alexandria | GGA-PBE | relaxed; formation energy from raw total energies = 0.44 eV per atom; ρ = 7.07 g/cm³; energy relative to the lowest polymorph listed for this composition = 0 meV per atom; symmetry = No. 123; total magnetic moment = 0.0 μB per cell
1.0
5.361 0.000 0.000
0.000 5.361 0.000
0.000 0.000 5.309
Sb Te Bi Ga
2 1 1 1
Cartesian
0.000 2.681 0.000 Sb
2.681 0.000 0.000 Sb
0.000 0.000 2.655 Te
2.681 2.681 2.655 Bi
0.000 0.000 0.000 Ga

***

GaBiSb2Te | Alexandria | GGA-PBE | relaxed; formation energy from raw total energies = 0.75 eV per atom; ρ = 5.21 g/cm³; energy relative to the lowest polymorph listed for this composition = 303 meV per atom; symmetry = No. 123; total magnetic moment = 0.8 μB per cell
1.0
-3.793 -1.523 4.168
4.433 -1.048 3.651
-0.212 5.764 1.913
Sb Te Bi Ga
2 1 1 1
Cartesian
2.217 -0.524 1.826 Sb
-1.897 -0.761 2.084 Sb
-0.106 2.882 0.956 Te
0.000 0.000 0.000 Bi
0.214 1.596 4.866 Ga

***

Ga4BiSb2Te | Alexandria | GGA-PBE | relaxed; formation energy from raw total energies = -0.09 eV per atom; ρ = 5.48 g/cm³; symmetry = No. 42; total magnetic moment = 0.0 μB per cell
1.0
-5.685 -0.540 2.851
-2.126 -3.470 -4.917
5.873 -3.327 3.946
Ga Bi Sb Te
4 1 2 1
Cartesian
-0.494 -4.947 1.640 Ga
-2.505 -4.122 -2.216 Ga
-4.283 -2.658 1.664 Ga
3.406 -2.945 2.671 Ga
-3.905 -2.007 -1.032 Bi
-1.858 -2.937 2.882 Sb
-0.079 -4.402 -1.001 Sb
0.000 -0.001 0.000 Te

***

> What is the total magnetic moment in the eighth record?

0.0 μB per cell

***

> Which value of formation energy from raw total energies does entry 5 give?

-0.71 eV per atom

***

Copy entry 5 word for word.
Sr2GaBiSb | Alexandria | GGA-PBE | relaxed; formation energy from raw total energies = -0.71 eV per atom; ρ = 5.54 g/cm³; energy relative to the lowest polymorph listed for this composition = 0 meV per atom; symmetry = No. 11; total magnetic moment = 0.0 μB per cell
1.0
5.073 0.000 0.000
0.000 8.106 1.436
0.000 -1.284 8.172
Sr Ga Bi Sb
4 2 2 2
Cartesian
3.805 5.540 5.229 Sr
3.805 5.159 9.280 Sr
1.268 1.282 4.379 Sr
1.268 1.663 0.327 Sr
1.268 3.600 7.683 Ga
3.805 3.222 1.924 Ga
1.268 4.438 2.765 Bi
3.805 2.384 6.843 Bi
1.268 6.339 7.336 Sb
3.805 0.483 2.271 Sb